{"formula": "Be3Fe4Si3TeO12", "functional": "SCAN", "state": "single point on PBEsol structure", "cell": [[8.289, 0.000, 0.000], [0.000, 8.289, 0.000], [0.000, 0.000, 8.289]], "species": ["Be", "Be", "Be", "Be", "Be", "Be", "Fe", "Fe", "Fe", "Fe", "Fe", "Fe", "Fe", "Fe", "Si", "Si", "Si", "Si", "Si", "Si", "Te", "Te", "O", "O", "O", "O", "O", "O", "O", "O", "O", "O", "O", "O", "O", "O", "O", "O", "O", "O", "O", "O", "O", "O", "O", "O"], "fractional_positions": [[0.000, 0.250, 0.500], [0.000, 0.750, 0.500], [0.250, 0.500, 0.000], [0.500, 0.000, 0.250], [0.500, 0.000, 0.750], [0.750, 0.500, 0.000], [0.181, 0.181, 0.819], [0.181, 0.819, 0.181], [0.319, 0.319, 0.319], [0.319, 0.681, 0.681], [0.681, 0.319, 0.681], [0.681, 0.681, 0.319], [0.819, 0.181, 0.181], [0.819, 0.819, 0.819], [0.000, 0.500, 0.250], [0.000, 0.500, 0.750], [0.250, 0.000, 0.500], [0.500, 0.250, 0.000], [0.500, 0.750, 0.000], [0.750, 0.000, 0.500], [0.000, 0.000, 0.000], [0.500, 0.500, 0.500], [0.084, 0.358, 0.359], [0.084, 0.642, 0.641], [0.141, 0.142, 0.584], [0.141, 0.858, 0.416], [0.142, 0.416, 0.859], [0.142, 0.584, 0.141], [0.358, 0.359, 0.084], [0.358, 0.641, 0.916], [0.359, 0.084, 0.358], [0.359, 0.916, 0.642], [0.416, 0.141, 0.858], [0.416, 0.859, 0.142], [0.584, 0.141, 0.142], [0.584, 0.859, 0.858], [0.641, 0.084, 0.642], [0.641, 0.916, 0.358], [0.642, 0.359, 0.916], [0.642, 0.641, 0.084], [0.858, 0.416, 0.141], [0.858, 0.584, 0.859], [0.859, 0.142, 0.416], [0.859, 0.858, 0.584], [0.916, 0.358, 0.641], [0.916, 0.642, 0.359]], "m_tot_mub_per_fu": 16.00, "total_energy_ev_per_atom": -12.220, "space_group": "P-43n"}


{"formula": "MgTlCu2", "functional": "SCAN", "state": "single point on PBEsol structure", "cell": [[3.980, 0.000, 0.000], [0.000, 3.980, 0.000], [0.000, 0.000, 8.074]], "species": ["Mg", "Mg", "Tl", "Tl", "Cu", "Cu", "Cu", "Cu"], "fractional_positions": [[0.000, 0.000, 0.000], [0.500, 0.500, 0.500], [0.000, 0.500, 0.250], [0.500, 0.000, 0.750], [0.000, 0.000, 0.500], [0.000, 0.500, 0.750], [0.500, 0.000, 0.250], [0.500, 0.500, 0.000]], "m_tot_mub_per_fu": 0.00, "delta_e_f_ev_per_fu": 0.429, "space_group": "I-4m2"}


{"formula": "TbGdIr2", "functional": "SCAN", "state": "single point on PBEsol structure", "cell": [[6.799, 0.000, 0.000], [0.000, 6.799, 0.000], [0.000, 0.000, 6.799]], "species": ["Tb", "Tb", "Tb", "Tb", "Gd", "Gd", "Gd", "Gd", "Ir", "Ir", "Ir", "Ir", "Ir", "Ir", "Ir", "Ir"], "fractional_positions": [[0.000, 0.000, 0.000], [0.000, 0.500, 0.500], [0.500, 0.000, 0.500], [0.500, 0.500, 0.000], [0.000, 0.000, 0.500], [0.000, 0.500, 0.000], [0.500, 0.000, 0.000], [0.500, 0.500, 0.500], [0.250, 0.250, 0.250], [0.250, 0.250, 0.750], [0.250, 0.750, 0.250], [0.250, 0.750, 0.750], [0.750, 0.250, 0.250], [0.750, 0.250, 0.750], [0.750, 0.750, 0.250], [0.750, 0.750, 0.750]], "m_tot_mub_per_fu": 6.82, "delta_e_f_ev_per_fu": -3.509, "space_group": "Fm-3m"}


{"formula": "Sr8Cd", "functional": "SCAN", "state": "single point on PBEsol structure", "cell": [[-6.814, 6.814, 2.242], [6.814, -6.814, 2.242], [6.814, 6.814, -2.242]], "species": ["Sr", "Sr", "Sr", "Sr", "Sr", "Sr", "Sr", "Sr", "Cd"], "fractional_positions": [[0.000, 0.335, 0.335], [0.000, 0.665, 0.665], [0.335, 0.000, 0.335], [0.351, 0.351, 0.702], [0.351, 0.649, 0.000], [0.649, 0.351, 0.000], [0.649, 0.649, 0.298], [0.665, 0.000, 0.665], [0.000, 0.000, 0.000]], "m_tot_mub_per_fu": 0.33, "delta_e_f_ev_per_fu": -0.193, "space_group": "I4/mmm"}


{"formula": "Ca2NiW", "functional": "SCAN", "state": "single point on PBEsol structure", "cell": [[5.352, 0.000, 0.000], [0.000, 2.831, 0.000], [-2.502, 0.000, 5.066]], "species": ["Ca", "Ca", "Ni", "W"], "fractional_positions": [[0.000, 0.000, 0.000], [0.000, 0.500, 0.500], [0.500, 0.000, 0.500], [0.500, 0.500, 0.000]], "m_tot_mub_per_fu": 0.87, "delta_e_f_ev_per_fu": 4.254, "space_group": "P2/m"}


{"formula": "Mg5C3", "functional": "SCAN", "state": "single point on PBEsol structure", "cell": [[6.286, 0.000, 0.000], [0.000, 9.077, 0.000], [0.000, 0.000, 3.649]], "species": ["Mg", "Mg", "Mg", "Mg", "Mg", "Mg", "Mg", "Mg", "Mg", "Mg", "C", "C", "C", "C", "C", "C"], "fractional_positions": [[0.000, 0.000, 0.000], [0.196, 0.500, 0.500], [0.250, 0.250, 0.000], [0.250, 0.750, 0.000], [0.304, 0.000, 0.500], [0.500, 0.500, 0.000], [0.696, 0.000, 0.500], [0.750, 0.250, 0.000], [0.750, 0.750, 0.000], [0.804, 0.500, 0.500], [0.000, 0.135, 0.500], [0.000, 0.500, 0.000], [0.000, 0.865, 0.500], [0.500, 0.000, 0.000], [0.500, 0.365, 0.500], [0.500, 0.635, 0.500]], "m_tot_mub_per_fu": 0.00, "delta_e_f_ev_per_fu": 4.758, "space_group": "Cmmm"}


{"formula": "ZrBiP3", "functional": "SCAN", "state": "single point on PBEsol structure", "cell": [[4.955, 0.000, 0.000], [0.000, 4.955, 0.000], [0.000, 0.000, 4.955]], "species": ["Zr", "Bi", "P", "P", "P"], "fractional_positions": [[0.000, 0.000, 0.000], [0.500, 0.500, 0.500], [0.000, 0.000, 0.500], [0.000, 0.500, 0.000], [0.500, 0.000, 0.000]], "m_tot_mub_per_fu": 0.00, "delta_e_f_ev_per_fu": 1.902, "space_group": "Pm-3m"}


{"formula": "AlIn3As", "functional": "SCAN", "state": "single point on PBEsol structure", "cell": [[5.154, 0.000, 0.000], [0.000, 5.154, 0.000], [0.000, 0.000, 5.154]], "species": ["Al", "In", "In", "In", "As"], "fractional_positions": [[0.000, 0.000, 0.000], [0.000, 0.000, 0.500], [0.000, 0.500, 0.000], [0.500, 0.000, 0.000], [0.500, 0.500, 0.500]], "m_tot_mub_per_fu": 0.00, "delta_e_f_ev_per_fu": 2.509, "space_group": "Pm-3m"}


{"formula": "FeTcAg2", "functional": "SCAN", "state": "single point on PBEsol structure", "cell": [[3.043, 0.000, 0.000], [0.000, 4.327, 0.000], [0.000, 0.000, 8.909]], "species": ["Fe", "Fe", "Tc", "Tc", "Ag", "Ag", "Ag", "Ag"], "fractional_positions": [[0.000, 0.000, 0.000], [0.500, 0.500, 0.000], [0.000, 0.500, 0.214], [0.500, 0.000, 0.214], [0.000, 0.000, 0.483], [0.000, 0.500, 0.752], [0.500, 0.000, 0.752], [0.500, 0.500, 0.483]], "m_tot_mub_per_fu": 2.86, "delta_e_f_ev_per_fu": 1.105, "space_group": "Cmm2"}


{"formula": "SrCdHg2", "functional": "SCAN", "state": "single point on PBEsol structure", "cell": [[4.792, 0.000, 0.000], [0.000, 4.792, 0.000], [0.000, 0.000, 4.551]], "species": ["Sr", "Cd", "Hg", "Hg"], "fractional_positions": [[0.000, 0.000, 0.000], [0.500, 0.500, 0.000], [0.000, 0.500, 0.500], [0.500, 0.000, 0.500]], "m_tot_mub_per_fu": 0.00, "delta_e_f_ev_per_fu": -1.590, "space_group": "P4/mmm"}


{"formula": "BeSiPSe2", "functional": "SCAN", "state": "single point on PBEsol structure", "cell": [[4.522, 0.000, 0.000], [0.000, 4.522, 0.000], [0.000, 0.000, 4.225]], "species": ["Be", "Si", "P", "Se", "Se"], "fractional_positions": [[0.000, 0.000, 0.000], [0.000, 0.000, 0.500], [0.500, 0.500, 0.500], [0.000, 0.500, 0.000], [0.500, 0.000, 0.000]], "m_tot_mub_per_fu": 0.00, "total_energy_ev_per_atom": -12.180, "space_group": "P4/mmm"}


{"formula": "BaAgPb2", "functional": "SCAN", "state": "single point on PBEsol structure", "cell": [[9.380, 0.000, 0.000], [0.000, 4.730, 0.000], [-2.405, 0.000, 5.698]], "species": ["Ba", "Ba", "Ag", "Ag", "Pb", "Pb", "Pb", "Pb"], "fractional_positions": [[0.000, 0.000, 0.000], [0.500, 0.500, 0.000], [0.239, 0.000, 0.606], [0.739, 0.500, 0.606], [0.055, 0.500, 0.593], [0.286, 0.500, 0.339], [0.555, 0.000, 0.593], [0.786, 0.000, 0.339]], "m_tot_mub_per_fu": 0.00, "delta_e_f_ev_per_fu": -1.379, "space_group": "Cm"}


{"formula": "YCrOs2", "functional": "SCAN", "state": "single point on PBEsol structure", "cell": [[4.482, 0.000, 0.000], [0.000, 4.482, 0.000], [0.000, 0.000, 3.154]], "species": ["Y", "Cr", "Os", "Os"], "fractional_positions": [[0.000, 0.000, 0.000], [0.500, 0.500, 0.000], [0.000, 0.500, 0.500], [0.500, 0.000, 0.500]], "m_tot_mub_per_fu": 1.83, "delta_e_f_ev_per_fu": 0.864, "space_group": "P4/mmm"}


{"formula": "Y2In8Co", "functional": "SCAN", "state": "single point on PBEsol structure", "cell": [[4.510, 0.000, 0.000], [0.000, 4.510, 0.000], [0.000, 0.000, 11.965]], "species": ["Y", "Y", "In", "In", "In", "In", "In", "In", "In", "In", "Co"], "fractional_positions": [[0.000, 0.000, 0.193], [0.000, 0.000, 0.807], [0.000, 0.500, 0.000], [0.000, 0.500, 0.381], [0.000, 0.500, 0.619], [0.500, 0.000, 0.000], [0.500, 0.000, 0.381], [0.500, 0.000, 0.619], [0.500, 0.500, 0.192], [0.500, 0.500, 0.808], [0.000, 0.000, 0.500]], "m_tot_mub_per_fu": 0.00, "delta_e_f_ev_per_fu": -4.427, "space_group": "P4/mmm"}


{"formula": "Ba2CoCl6", "functional": "SCAN", "state": "single point on PBEsol structure", "cell": [[9.051, 0.000, 0.000], [0.000, 7.977, 0.000], [-9.006, 0.000, 12.589]], "species": ["Ba", "Ba", "Ba", "Ba", "Ba", "Ba", "Ba", "Ba", "Co", "Co", "Co", "Co", "Cl", "Cl", "Cl", "Cl", "Cl", "Cl", "Cl", "Cl", "Cl", "Cl", "Cl", "Cl", "Cl", "Cl", "Cl", "Cl", "Cl", "Cl", "Cl", "Cl", "Cl", "Cl", "Cl", "Cl"], "fractional_positions": [[0.157, 0.110, 0.296], [0.157, 0.390, 0.796], [0.218, 0.724, 0.095], [0.218, 0.776, 0.595], [0.782, 0.224, 0.405], [0.782, 0.276, 0.905], [0.843, 0.610, 0.204], [0.843, 0.890, 0.704], [0.439, 0.144, 0.068], [0.439, 0.356, 0.568], [0.561, 0.644, 0.432], [0.561, 0.856, 0.932], [0.056, 0.099, 0.634], [0.056, 0.401, 0.134], [0.111, 0.074, 0.930], [0.111, 0.426, 0.430], [0.247, 0.731, 0.305], [0.247, 0.769, 0.805], [0.368, 0.076, 0.541], [0.368, 0.424, 0.041], [0.399, 0.085, 0.202], [0.399, 0.415, 0.702], [0.481, 0.143, 0.927], [0.481, 0.357, 0.427], [0.519, 0.643, 0.573], [0.519, 0.857, 0.073], [0.601, 0.585, 0.298], [0.601, 0.915, 0.798], [0.632, 0.576, 0.959], [0.632, 0.924, 0.459], [0.753, 0.231, 0.195], [0.753, 0.269, 0.695], [0.889, 0.574, 0.570], [0.889, 0.926, 0.070], [0.944, 0.599, 0.866], [0.944, 0.901, 0.366]], "m_tot_mub_per_fu": 3.02, "total_energy_ev_per_atom": -18.229, "space_group": "P2_1/c"}


{"formula": "LiCa2Cd", "functional": "SCAN", "state": "single point on PBEsol structure", "cell": [[11.747, 0.000, 0.000], [0.000, 3.683, 0.000], [-1.915, 0.000, 5.193]], "species": ["Li", "Li", "Ca", "Ca", "Ca", "Ca", "Cd", "Cd"], "fractional_positions": [[0.000, 0.000, 0.000], [0.500, 0.500, 0.000], [0.228, 0.000, 0.780], [0.436, 0.000, 0.435], [0.728, 0.500, 0.780], [0.936, 0.500, 0.435], [0.190, 0.500, 0.252], [0.690, 0.000, 0.252]], "m_tot_mub_per_fu": 0.13, "delta_e_f_ev_per_fu": -0.787, "space_group": "Cm"}


{"formula": "CoP2Pt", "functional": "SCAN", "state": "single point on PBEsol structure", "cell": [[4.023, 0.000, 0.000], [0.000, 4.023, 0.000], [0.000, 0.000, 3.175]], "species": ["Co", "P", "P", "Pt"], "fractional_positions": [[0.000, 0.000, 0.000], [0.000, 0.500, 0.500], [0.500, 0.000, 0.500], [0.500, 0.500, 0.000]], "m_tot_mub_per_fu": 1.46, "delta_e_f_ev_per_fu": 0.782, "space_group": "P4/mmm"}


{"formula": "CoSeBr", "functional": "SCAN", "state": "single point on PBEsol structure", "cell": [[3.421, 0.000, 0.000], [-1.711, 2.963, 0.000], [0.000, 0.000, 6.034]], "species": ["Co", "Se", "Br"], "fractional_positions": [[0.000, 0.000, 0.000], [0.333, 0.667, 0.800], [0.667, 0.333, 0.241]], "m_tot_mub_per_fu": 0.00, "total_energy_ev_per_atom": -19.366, "space_group": "P3m1"}


{"formula": "CaYPb2", "functional": "SCAN", "state": "single point on PBEsol structure", "cell": [[4.199, 0.000, 0.000], [0.000, 4.761, 0.000], [0.000, 0.000, 11.196]], "species": ["Ca", "Ca", "Y", "Y", "Pb", "Pb", "Pb", "Pb"], "fractional_positions": [[0.000, 0.000, 0.000], [0.500, 0.500, 0.500], [0.000, 0.500, 0.244], [0.500, 0.000, 0.744], [0.000, 0.000, 0.482], [0.000, 0.500, 0.754], [0.500, 0.000, 0.254], [0.500, 0.500, 0.982]], "m_tot_mub_per_fu": 0.00, "delta_e_f_ev_per_fu": -2.688, "space_group": "Imm2"}


{"formula": "YTl3Cu", "functional": "SCAN", "state": "single point on PBEsol structure", "cell": [[5.038, 0.000, 0.000], [0.000, 5.038, 0.000], [0.000, 0.000, 5.038]], "species": ["Y", "Tl", "Tl", "Tl", "Cu"], "fractional_positions": [[0.000, 0.000, 0.000], [0.000, 0.500, 0.500], [0.500, 0.000, 0.500], [0.500, 0.500, 0.000], [0.500, 0.500, 0.500]], "m_tot_mub_per_fu": 0.00, "delta_e_f_ev_per_fu": 0.473, "space_group": "Pm-3m"}


{"formula": "TcPt7", "functional": "SCAN", "state": "single point on PBEsol structure", "cell": [[0.000, 3.900, 3.900], [3.900, 0.000, 3.900], [3.900, 3.900, 0.000]], "species": ["Tc", "Pt", "Pt", "Pt", "Pt", "Pt", "Pt", "Pt"], "fractional_positions": [[0.000, 0.000, 0.000], [0.000, 0.000, 0.500], [0.000, 0.500, 0.000], [0.000, 0.500, 0.500], [0.500, 0.000, 0.000], [0.500, 0.000, 0.500], [0.500, 0.500, 0.000], [0.500, 0.500, 0.500]], "m_tot_mub_per_fu": 2.93, "delta_e_f_ev_per_fu": 0.096, "space_group": "Fm-3m"}


{"formula": "LiCuAg2", "functional": "SCAN", "state": "single point on PBEsol structure", "cell": [[4.099, 0.000, 0.000], [0.000, 4.099, 0.000], [0.000, 0.000, 3.389]], "species": ["Li", "Cu", "Ag", "Ag"], "fractional_positions": [[0.000, 0.000, 0.000], [0.500, 0.500, 0.000], [0.000, 0.500, 0.500], [0.500, 0.000, 0.500]], "m_tot_mub_per_fu": 0.00, "delta_e_f_ev_per_fu": -0.208, "space_group": "P4/mmm"}


{"formula": "SrOs2Cl", "functional": "SCAN", "state": "single point on PBEsol structure", "cell": [[2.936, 0.000, 0.000], [0.000, 3.719, 0.000], [0.000, 0.000, 7.787]], "species": ["Sr", "Os", "Os", "Cl"], "fractional_positions": [[0.000, 0.000, 0.000], [0.000, 0.000, 0.585], [0.500, 0.500, 0.697], [0.500, 0.500, 0.206]], "m_tot_mub_per_fu": 0.00, "total_energy_ev_per_atom": -43.549, "space_group": "Pmm2"}


{"formula": "Th2TeN2", "functional": "SCAN", "state": "single point on PBEsol structure", "cell": [[4.064, 0.000, 0.000], [0.000, 4.064, 0.000], [0.000, 0.000, 12.916]], "species": ["Th", "Th", "Th", "Th", "Te", "Te", "N", "N", "N", "N"], "fractional_positions": [[0.000, 0.000, 0.162], [0.000, 0.000, 0.838], [0.500, 0.500, 0.338], [0.500, 0.500, 0.662], [0.000, 0.000, 0.500], [0.500, 0.500, 0.000], [0.000, 0.500, 0.250], [0.000, 0.500, 0.750], [0.500, 0.000, 0.250], [0.500, 0.000, 0.750]], "m_tot_mub_per_fu": 0.00, "total_energy_ev_per_atom": -51.570, "space_group": "I4/mmm"}


{"formula": "RbY2FeH", "functional": "SCAN", "state": "single point on PBEsol structure", "cell": [[4.853, 0.000, 0.000], [0.000, 4.853, 0.000], [0.000, 0.000, 6.704]], "species": ["Rb", "Y", "Y", "Fe", "H"], "fractional_positions": [[0.000, 0.000, 0.000], [0.000, 0.500, 0.500], [0.500, 0.000, 0.500], [0.000, 0.000, 0.500], [0.500, 0.500, 0.000]], "m_tot_mub_per_fu": 1.35, "total_energy_ev_per_atom": -18.768, "space_group": "P4/mmm"}